## A
NiSeCl2 at its PBEsol-relaxed geometry. Source: Alexandria via LeMat-Bulk, functional SCAN.

Unit cell a=6.452 b=6.452 c=6.452 alpha=90.00 beta=90.00 gamma=90.00
Fractional coordinates of all 16 atoms:
Ni 0.000 0.000 0.000
Ni 0.000 0.500 0.500
Ni 0.500 0.000 0.500
Ni 0.500 0.500 0.000
Se 0.000 0.000 0.500
Se 0.000 0.500 0.000
Se 0.500 0.000 0.000
Se 0.500 0.500 0.500
Cl 0.250 0.250 0.250
Cl 0.250 0.250 0.750
Cl 0.250 0.750 0.250
Cl 0.250 0.750 0.750
Cl 0.750 0.250 0.250
Cl 0.750 0.250 0.750
Cl 0.750 0.750 0.250
Cl 0.750 0.750 0.750

Results
Space-group type: Fm-3m (225)
Total magnetization in μB/atom: 0.18

---

## B
NiSeCl2 at its PBEsol-relaxed geometry. Source: Alexandria via LeMat-Bulk, functional SCAN.

Unit cell a=3.085 b=4.012 c=5.909 alpha=90.00 beta=90.00 gamma=90.00
Fractional coordinates of all 4 atoms:
Ni 0.000 0.000 0.000
Se 0.500 0.000 0.500
Cl 0.000 0.500 0.500
Cl 0.500 0.500 0.000

Results
Space-group type: Pmmm (47)
Total magnetization in μB/atom: 0.34

---

## C
NiSeCl2 at its PBEsol-relaxed geometry. Source: Alexandria via LeMat-Bulk, functional SCAN.

Unit cell a=2.901 b=6.141 c=9.596 alpha=90.00 beta=90.00 gamma=90.00
Fractional coordinates of all 8 atoms:
Ni 0.000 0.000 0.000
Ni 0.500 0.500 0.500
Se 0.000 0.000 0.500
Se 0.500 0.500 0.000
Cl 0.000 0.500 0.335
Cl 0.000 0.500 0.665
Cl 0.500 0.000 0.165
Cl 0.500 0.000 0.835

Results
Space-group type: Immm (71)
Total magnetization in μB/atom: 0.31

---

What should be chosen as the least stable of them? Choose A.

---

## A
NiSe2Cl at its PBEsol-relaxed geometry. Source: Alexandria via LeMat-Bulk, functional SCAN.

Unit cell a=3.571 b=3.571 c=19.742 alpha=90.00 beta=90.00 gamma=120.00
Fractional coordinates of all 12 atoms:
Ni 0.000 0.000 0.000
Ni 0.333 0.667 0.667
Ni 0.667 0.333 0.333
Se 0.000 0.000 0.275
Se 0.000 0.000 0.725
Se 0.333 0.667 0.391
Se 0.333 0.667 0.942
Se 0.667 0.333 0.058
Se 0.667 0.333 0.609
Cl 0.000 0.000 0.500
Cl 0.333 0.667 0.167
Cl 0.667 0.333 0.833

Results
Space-group type: R-3m (166)
Total magnetization in μB/atom: 0.00

---

## B
NiSe2Cl at its PBEsol-relaxed geometry. Source: Alexandria via LeMat-Bulk, functional SCAN.

Unit cell a=4.580 b=3.565 c=4.876 alpha=90.00 beta=107.86 gamma=90.00
Fractional coordinates of all 4 atoms:
Ni 0.000 0.000 0.000
Se 0.347 0.500 0.157
Se 0.653 0.500 0.843
Cl 0.000 0.000 0.500

Results
Space-group type: P2/m (10)
Total magnetization in μB/atom: 0.00

---

## C
NiSe2Cl at its PBEsol-relaxed geometry. Source: Alexandria via LeMat-Bulk, functional SCAN.

Unit cell a=3.340 b=5.071 c=8.885 alpha=90.00 beta=90.00 gamma=90.00
Fractional coordinates of all 8 atoms:
Ni 0.000 0.000 0.000
Ni 0.500 0.500 0.000
Se 0.000 0.000 0.526
Se 0.000 0.500 0.825
Se 0.500 0.000 0.825
Se 0.500 0.500 0.526
Cl 0.000 0.500 0.169
Cl 0.500 0.000 0.169

Results
Space-group type: Cmm2 (35)
Total magnetization in μB/atom: 0.10

---

What should be chosen as the least stable of them? Choose C.

---

## A
NiSe2Cl at its PBEsol-relaxed geometry. Source: Alexandria via LeMat-Bulk, functional SCAN.

Unit cell a=6.333 b=6.333 c=8.785 alpha=90.00 beta=90.00 gamma=90.00
Fractional coordinates of all 16 atoms:
Ni 0.000 0.000 0.000
Ni 0.000 0.500 0.250
Ni 0.500 0.000 0.750
Ni 0.500 0.500 0.500
Se 0.172 0.750 0.125
Se 0.250 0.172 0.875
Se 0.250 0.328 0.375
Se 0.328 0.750 0.625
Se 0.672 0.250 0.625
Se 0.750 0.672 0.375
Se 0.750 0.828 0.875
Se 0.828 0.250 0.125
Cl 0.000 0.000 0.500
Cl 0.000 0.500 0.750
Cl 0.500 0.000 0.250
Cl 0.500 0.500 0.000

Results
Space-group type: I-42d (122)
Total magnetization in μB/atom: 0.00

---

## B
NiSe2Cl at its PBEsol-relaxed geometry. Source: Alexandria via LeMat-Bulk, functional SCAN.

Unit cell a=6.275 b=3.548 c=6.750 alpha=90.00 beta=97.33 gamma=90.00
Fractional coordinates of all 8 atoms:
Ni 0.000 0.000 0.000
Ni 0.500 0.500 0.000
Se 0.185 0.500 0.173
Se 0.315 0.000 0.827
Se 0.685 0.000 0.173
Se 0.815 0.500 0.827
Cl 0.000 0.500 0.500
Cl 0.500 0.000 0.500

Results
Space-group type: C2/m (12)
Total magnetization in μB/atom: 0.00

---

What should be chosen as the least stable of them? Choose A.

---

## A
SiNiCl at its PBEsol-relaxed geometry. Source: Alexandria via LeMat-Bulk, functional SCAN.

Unit cell a=2.993 b=2.993 c=10.571 alpha=90.00 beta=90.00 gamma=90.00
Fractional coordinates of all 6 atoms:
Si 0.000 0.000 0.000
Si 0.500 0.500 0.500
Ni 0.000 0.000 0.583
Ni 0.500 0.500 0.083
Cl 0.000 0.000 0.800
Cl 0.500 0.500 0.300

Results
Space-group type: I4mm (107)
Total magnetization in μB/atom: 0.00

---

## B
SiNiCl at its PBEsol-relaxed geometry. Source: Alexandria via LeMat-Bulk, functional SCAN.

Unit cell a=5.835 b=5.835 c=5.835 alpha=90.00 beta=90.00 gamma=90.00
Fractional coordinates of all 12 atoms:
Si 0.000 0.000 0.000
Si 0.000 0.500 0.500
Si 0.500 0.000 0.500
Si 0.500 0.500 0.000
Ni 0.000 0.000 0.500
Ni 0.000 0.500 0.000
Ni 0.500 0.000 0.000
Ni 0.500 0.500 0.500
Cl 0.250 0.250 0.250
Cl 0.250 0.750 0.750
Cl 0.750 0.250 0.750
Cl 0.750 0.750 0.250

Results
Space-group type: F-43m (216)
Total magnetization in μB/atom: 0.00

---

What should be chosen as the least stable of them? Choose B.

---

## A
Sr2NiCl at its PBEsol-relaxed geometry. Source: Alexandria via LeMat-Bulk, functional SCAN.

Unit cell a=7.355 b=7.355 c=7.355 alpha=90.00 beta=90.00 gamma=90.00
Fractional coordinates of all 16 atoms:
Sr 0.250 0.250 0.250
Sr 0.250 0.250 0.750
Sr 0.250 0.750 0.250
Sr 0.250 0.750 0.750
Sr 0.750 0.250 0.250
Sr 0.750 0.250 0.750
Sr 0.750 0.750 0.250
Sr 0.750 0.750 0.750
Ni 0.000 0.000 0.000
Ni 0.000 0.500 0.500
Ni 0.500 0.000 0.500
Ni 0.500 0.500 0.000
Cl 0.000 0.000 0.500
Cl 0.000 0.500 0.000
Cl 0.500 0.000 0.000
Cl 0.500 0.500 0.500

Results
Space-group type: Fm-3m (225)
Total magnetization in μB/atom: 0.00

---

## B
Sr2NiCl at its PBEsol-relaxed geometry. Source: Alexandria via LeMat-Bulk, functional SCAN.

Unit cell a=4.263 b=4.263 c=5.965 alpha=90.00 beta=90.00 gamma=90.00
Fractional coordinates of all 4 atoms:
Sr 0.000 0.000 0.000
Sr 0.500 0.500 0.500
Ni 0.000 0.000 0.500
Cl 0.500 0.500 0.000

Results
Space-group type: P4/mmm (123)
Total magnetization in μB/atom: 0.00

---

What should be chosen as the least stable of them? Choose A.

---

## A
TaNiCl2 at its PBEsol-relaxed geometry. Source: Alexandria via LeMat-Bulk, functional SCAN.

Unit cell a=6.555 b=3.034 c=8.134 alpha=90.00 beta=105.92 gamma=90.00
Fractional coordinates of all 8 atoms:
Ta 0.000 0.000 0.000
Ta 0.500 0.500 0.000
Ni 0.281 0.500 0.182
Ni 0.781 0.000 0.182
Cl 0.046 0.500 0.344
Cl 0.409 0.000 0.757
Cl 0.546 0.000 0.344
Cl 0.909 0.500 0.757

Results
Space-group type: Cm (8)
Total magnetization in μB/atom: 0.00

---

## B
TaNiCl2 at its PBEsol-relaxed geometry. Source: Alexandria via LeMat-Bulk, functional SCAN.

Unit cell a=3.229 b=3.090 c=7.607 alpha=90.00 beta=102.00 gamma=90.00
Fractional coordinates of all 4 atoms:
Ta 0.000 0.000 0.000
Ni 0.417 0.500 0.831
Cl 0.124 0.500 0.254
Cl 0.835 0.000 0.665

Results
Space-group type: Pm (6)
Total magnetization in μB/atom: 0.00

---

What should be chosen as the least stable of them? Choose A.

---

## A
Ni2TeCl at its PBEsol-relaxed geometry. Source: Alexandria via LeMat-Bulk, functional SCAN.

Unit cell a=3.187 b=3.187 c=6.322 alpha=90.00 beta=90.00 gamma=90.00
Fractional coordinates of all 4 atoms:
Ni 0.000 0.000 0.223
Ni 0.000 0.000 0.777
Te 0.500 0.500 0.000
Cl 0.500 0.500 0.500

Results
Space-group type: P4/mmm (123)
Total magnetization in μB/atom: 0.00

---

## B
Ni2TeCl at its PBEsol-relaxed geometry. Source: Alexandria via LeMat-Bulk, functional SCAN.

Unit cell a=3.600 b=3.600 c=19.459 alpha=90.00 beta=90.00 gamma=120.00
Fractional coordinates of all 12 atoms:
Ni 0.000 0.000 0.000
Ni 0.000 0.000 0.273
Ni 0.333 0.667 0.667
Ni 0.333 0.667 0.940
Ni 0.667 0.333 0.333
Ni 0.667 0.333 0.606
Te 0.000 0.000 0.729
Te 0.333 0.667 0.396
Te 0.667 0.333 0.063
Cl 0.000 0.000 0.549
Cl 0.333 0.667 0.216
Cl 0.667 0.333 0.883

Results
Space-group type: R3m (160)
Total magnetization in μB/atom: 0.12

---

What should be chosen as the least stable of them? Choose A.

---

## A
NiWCl2 at its PBEsol-relaxed geometry. Source: Alexandria via LeMat-Bulk, functional SCAN.

Unit cell a=5.976 b=5.976 c=5.976 alpha=90.00 beta=90.00 gamma=90.00
Fractional coordinates of all 16 atoms:
Ni 0.000 0.000 0.000
Ni 0.000 0.500 0.500
Ni 0.500 0.000 0.500
Ni 0.500 0.500 0.000
W 0.000 0.000 0.500
W 0.000 0.500 0.000
W 0.500 0.000 0.000
W 0.500 0.500 0.500
Cl 0.250 0.250 0.250
Cl 0.250 0.250 0.750
Cl 0.250 0.750 0.250
Cl 0.250 0.750 0.750
Cl 0.750 0.250 0.250
Cl 0.750 0.250 0.750
Cl 0.750 0.750 0.250
Cl 0.750 0.750 0.750

Results
Space-group type: Fm-3m (225)
Total magnetization in μB/atom: 0.00

---

## B
NiWCl2 at its PBEsol-relaxed geometry. Source: Alexandria via LeMat-Bulk, functional SCAN.

Unit cell a=2.864 b=4.212 c=13.121 alpha=90.00 beta=90.00 gamma=90.00
Fractional coordinates of all 8 atoms:
Ni 0.000 0.000 0.000
Ni 0.500 0.500 0.500
W 0.000 0.000 0.500
W 0.500 0.500 0.000
Cl 0.000 0.500 0.149
Cl 0.000 0.500 0.851
Cl 0.500 0.000 0.351
Cl 0.500 0.000 0.649

Results
Space-group type: Immm (71)
Total magnetization in μB/atom: 0.00

---

What should be chosen as the least stable of them? Choose A.